No. 1
First-principles (PBEsol) data for an optimized crystal structure of NaTi2BiO6, as listed in Alexandria.

Structure (POSCAR):
```
NaTi2BiO6
1.0
5.399 0.000 0.000
0.000 5.399 0.000
0.000 0.000 4.188
Na Ti Bi O
1 2 1 6
Direct
0.000 0.000 0.000
0.000 0.500 0.451
0.500 0.000 0.451
0.500 0.500 0.032
0.000 0.500 0.871
0.257 0.257 0.355
0.257 0.743 0.355
0.500 0.000 0.871
0.743 0.257 0.355
0.743 0.743 0.355
```

Output
- formation energy (no corrections) (eV/f.u.) = -24.43
- energy relative to the lowest polymorph listed for this composition (eV per formula unit) = 0.103
- space group = No. 99

No. 2
First-principles (PBEsol) data for an optimized crystal structure of ClF5, as listed in Alexandria.

Structure (POSCAR):
```
ClF5
1.0
3.169 -3.653 0.000
3.169 3.653 0.000
0.000 0.000 7.562
Cl F
2 10
Direct
0.176 0.824 0.500
0.824 0.176 0.000
0.022 0.978 0.672
0.082 0.453 0.008
0.333 0.667 0.650
0.346 0.654 0.349
0.453 0.082 0.508
0.547 0.918 0.008
0.654 0.346 0.849
0.667 0.333 0.150
0.918 0.547 0.508
0.978 0.022 0.172
```

Output
- formation energy (no corrections) (eV/f.u.) = -4.25
- space group = No. 36

No. 3
First-principles (PBEsol) data for an optimized crystal structure of LiTbTl2, as listed in Alexandria.

Structure (POSCAR):
```
LiTbTl2
1.0
0.000 3.608 3.608
3.608 0.000 3.608
3.608 3.608 0.000
Li Tb Tl
1 1 2
Direct
0.000 0.000 0.000
0.500 0.500 0.500
0.250 0.250 0.250
0.750 0.750 0.750
```

Output
- formation energy (eV/atom) = -0.39
- space group = No. 225

No. 4
First-principles (PBEsol) data for an optimized crystal structure of CdAgHg2, as listed in Alexandria.

Structure (POSCAR):
```
CdAgHg2
1.0
3.487 0.000 0.000
0.000 3.877 0.000
0.000 0.000 5.958
Cd Ag Hg
1 1 2
Direct
0.000 0.000 0.000
0.500 0.500 0.762
0.000 0.000 0.519
0.500 0.500 0.254
```

Output
- formation energy (eV/atom) = 0.01
- space group = No. 25

No. 5
First-principles (PBEsol) data for an optimized crystal structure of LiYAu2, as listed in Alexandria.

Structure (POSCAR):
```
LiYAu2
1.0
-2.340 2.435 3.387
2.340 -2.435 3.387
2.340 2.435 -3.387
Li Y Au
1 1 2
Direct
0.000 0.000 0.000
0.500 0.500 0.000
0.239 0.739 0.500
0.761 0.261 0.500
```

Output
- formation energy (eV/atom) = -0.69
- energy relative to the lowest polymorph listed for this composition (eV per formula unit) = 0.000
- space group = No. 71

No. 6
First-principles (PBEsol) data for an optimized crystal structure of KBaMo2, as listed in Alexandria.

Structure (POSCAR):
```
KBaMo2
1.0
-1.887 2.045 5.801
1.887 -2.045 5.801
1.887 2.045 -5.801
K Ba Mo
1 1 2
Direct
0.000 0.000 0.000
0.500 0.500 0.000
0.250 0.750 0.500
0.750 0.250 0.500
```

Output
- formation energy (eV/atom) = 1.54
- energy relative to the lowest polymorph listed for this composition (eV per formula unit) = 0.031
- space group = No. 71

no.,calculated volume (Å³/cell)
1,122
2,175
3,94
4,81
5,77
6,90